Computed, not measured: a geometry-optimized TbNd2Hf structure at the PBE level of DFT.

Unit cell a=4.058 b=4.058 c=7.379 alpha=90.00 beta=90.00 gamma=90.00
Fractional coordinates of all 4 atoms:
Tb 0.500 0.500 0.500
Hf 0.500 0.500 0.000
Nd 0.000 0.000 0.777
Nd 0.000 0.000 0.223

Output
* volume: 121.50 Å³ per cell
* energy above the lowest structure with this stoichiometry: 52 meV/atom
* N(E_F): 5.21 states/eV/cell
* E_form: 220 meV per atom
* E: -5.810 eV per atom